Below is an optimized crystal structure of GeAs3Rh, with properties calculated at the PBE level.

a b c (Å): 4.7921 4.7921 4.7921
angles (deg): 90.00 90.00 90.00
Last column: nearest neighbours and their distance in Å.
Fractional coordinates of all 5 atoms:
Rh 0.5000 0.5000 0.5000  12 As 3.39
As 0.0000 0.5000 0.0000  2 Ge 2.40
As 0.0000 0.0000 0.5000  2 Ge 2.40
As 0.5000 0.0000 0.0000  2 Ge 2.40
Ge 0.0000 0.0000 0.0000  6 As 2.40

Computed properties:
* space group: Pm-3m (221)
* total energy: -4.113 eV per atom
* calculated formation energy: 1.071 eV/atom


Below is an optimized crystal structure of RePOs2, with properties calculated at the PBE level.

a b c (Å): 5.2953 5.2953 3.8921
angles (deg): 90.00 90.00 149.05
Last column: nearest neighbours and their distance in Å.
Fractional coordinates of all 4 atoms:
Os 0.0770 0.9230 0.0000  1 P 2.32
Os 0.4376 0.5624 0.5000  2 P 2.37
Re 0.7056 0.2944 0.5000  4 P 2.61, 7 Os 2.74-2.76, 2 Re 2.83
P 0.3044 0.6956 0.0000  3 Os 2.32-2.37

Computed properties:
* space group: Amm2 (38)
* total energy: -10.032 eV per atom
* calculated formation energy: 0.047 eV/atom


Below is an optimized crystal structure of PmYInGa, with properties calculated at the PBE level.

a b c (Å): 3.6808 3.6808 7.5899
angles (deg): 90.00 90.00 90.00
Last column: nearest neighbours and their distance in Å.
Fractional coordinates of all 4 atoms:
In 0.0000 0.0000 0.8482  4 Y 3.24, 4 Pm 3.32
Y 0.5000 0.5000 0.5930  4 Ga 3.12, 4 In 3.24
Ga 0.0000 0.0000 0.3661  4 Y 3.12, 4 Pm 3.20
Pm 0.5000 0.5000 0.1206  4 Ga 3.20, 4 In 3.32

Computed properties:
* offset from the most stable computed form: 0 kJ/mol of formula units
* space group: P4mm (99)
* total energy: -4.785 eV per atom
* calculated formation energy: -0.540 eV/atom


Below is an optimized crystal structure of Fe2Ir, with properties calculated at the PBE level.

a b c (Å): 2.6412 3.8385 16.0955
angles (deg): 90.00 90.00 90.00
Last column: nearest neighbours and their distance in Å.
Fractional coordinates of all 12 atoms:
Fe 0.0000 0.7500 0.9600  3 Fe 2.31-2.41, 4 Ir 2.57
Fe 0.0000 0.2500 0.0400  3 Fe 2.31-2.41, 4 Ir 2.57
Fe 0.5000 0.7500 0.5400  3 Fe 2.31-2.41, 4 Ir 2.57
Fe 0.0000 0.7500 0.8102  3 Fe 2.35-2.41
Fe 0.5000 0.7500 0.6898  3 Fe 2.35-2.41
Fe 0.5000 0.2500 0.3102  3 Fe 2.35-2.41
Fe 0.0000 0.2500 0.1898  3 Fe 2.35-2.41
Fe 0.5000 0.2500 0.4600  3 Fe 2.31-2.41, 4 Ir 2.57
Ir 0.0000 0.2500 0.6079  10 Fe 2.57-2.72, 2 Ir 2.64
Ir 0.5000 0.7500 0.1079  10 Fe 2.57-2.72, 2 Ir 2.64
Ir 0.0000 0.7500 0.3921  10 Fe 2.57-2.72, 2 Ir 2.64
Ir 0.5000 0.2500 0.8921  10 Fe 2.57-2.72, 2 Ir 2.64

Computed properties:
* space group: Imma (74)
* total energy: -8.371 eV per atom
* calculated formation energy: 0.224 eV/atom


Q: What is the formula in the fourth record?
A: Fe2Ir